(1)
First-principles (PBE) data for an optimized crystal structure of CuSiAg2, as listed in Alexandria via LeMat-Bulk.

Output
Electronic total energy   -14.25 eV/f.u.
Raw formation energy   0.243 eV per atom

Cell lengths 3.8499, 3.9597, 8.4028 Å; angles 90.00, 90.00, 90.00 degrees
Closest atoms and distances in Å follow each position.
Space group Cmmm (No. 65)
Unique sites:
Cu  0.0000  0.0000  0.0000 x2  4 Cu 2.76, 8 Ag 2.77-2.80
Si  0.0000  0.0000  0.5000 x2  4 Si 2.76, 8 Ag 2.94-2.97
Ag  0.0000  0.5000  0.2362 x4  4 Ag 2.76, 4 Cu 2.77-2.80, 4 Si 2.94-2.97

(2)
First-principles (PBE) data for an optimized crystal structure of BeCrInCu2, as listed in Alexandria via LeMat-Bulk.

Output
Electronic total energy   -15.26 eV/f.u.
ΔH_f (0 K)   1.80 eV/atom

Cell lengths 4.5130, 4.5130, 4.8385 Å; angles 90.00, 90.00, 90.00 degrees
Closest atoms and distances in Å follow each position.
Space group P4/mmm (No. 123)
Unique sites:
Be  0.0000  0.0000  0.0000 x1  4 Cr 3.19, 8 Cu 3.31
Cr  0.5000  0.5000  0.0000 x1  2 In 2.42
In  0.5000  0.5000  0.5000 x1  4 Cu 2.26, 2 Cr 2.42
Cu  0.0000  0.5000  0.5000 x2  2 In 2.26

(3)
First-principles (PBE) data for an optimized crystal structure of NdTmCdHg, as listed in Alexandria via LeMat-Bulk.

Output
Electronic total energy   -11.97 eV/f.u.
ΔH_f (0 K)   -0.38 eV/atom

Cell lengths 7.5394, 7.5394, 7.5394 Å; angles 90.00, 90.00, 90.00 degrees
Closest atoms and distances in Å follow each position.
Space group F-43m (No. 216)
Unique sites:
Nd  0.0000  0.0000  0.0000 x4  4 Hg 3.26, 4 Cd 3.26
Tm  0.0000  0.0000  0.5000 x4  4 Hg 3.26, 4 Cd 3.26
Cd  0.2500  0.2500  0.2500 x4  4 Tm 3.26, 4 Nd 3.26
Hg  0.2500  0.2500  0.7500 x4  4 Nd 3.26, 4 Tm 3.26

(4)
First-principles (PBE) data for an optimized crystal structure of SrCuN2, as listed in Alexandria via LeMat-Bulk.

Output
Electronic total energy   -20.16 eV/f.u.
Raw formation energy   0.568 eV per atom
Energy relative to the lowest polymorph listed for this composition   0.000 eV/atom

Cell lengths 4.0575, 4.0575, 17.1083 Å; angles 90.00, 90.00, 120.00 degrees
Closest atoms and distances in Å follow each position.
Space group R-3m (No. 166, hexagonal axes)
Unique sites:
Sr  0.0000  0.0000  0.0000 x3  6 N 2.61
Cu  0.0000  0.0000  0.5000 x3  2 N 1.71
N  0.0000  0.0000  0.4000 x6  1 Cu 1.71

(5)
First-principles (PBE) data for an optimized crystal structure of Ba2Cd3Ag9, as listed in Alexandria via LeMat-Bulk.

Output
Electronic total energy   -34.32 eV/f.u.
ΔH_f (0 K)   -0.15 eV/atom

Cell lengths 14.7432, 8.8843, 10.0020 Å; angles 90.00, 90.00, 90.00 degrees
Closest atoms and distances in Å follow each position.
Space group Cmcm (No. 63)
Unique sites:
Ba  0.1535  0.1685  0.2500 x8  10 Ag 3.40-3.67, 4 Cd 3.69-3.73
Cd  0.0000  0.0000  0.0000 x4  8 Ag 2.86-3.06
Cd  0.1887  0.5000  0.0000 x8  8 Ag 2.89-3.11
Ag  0.0000  0.1565  0.7500 x4  2 Cd 2.86, 8 Ag 2.88-3.12
Ag  0.0000  0.3438  0.0143 x8  4 Ag 2.79-3.12, 3 Cd 3.06-3.11
Ag  0.0950  0.4532  0.7500 x8  4 Ag 2.80-3.01, 2 Cd 2.89
Ag  0.1617  0.1877  0.5917 x16  4 Ag 2.88-3.17, 3 Cd 2.91-3.05

(6)
First-principles (PBE) data for an optimized crystal structure of Mg2Os, as listed in Alexandria via LeMat-Bulk.

Output
Electronic total energy   -14.20 eV/f.u.
ΔH_f (0 K)   0.07 eV/atom

Cell lengths 4.6471, 9.8903, 4.4787 Å; angles 90.00, 90.00, 90.00 degrees
Closest atoms and distances in Å follow each position.
Space group Cmcm (No. 63)
Unique sites:
Mg  0.0000  0.0832  0.2500 x4  2 Os 2.70, 6 Mg 2.78-2.83
Mg  0.0000  0.2533  0.7500 x4  4 Mg 2.80-2.83, 5 Os 2.93-3.03
Os  0.0000  0.4441  0.2500 x4  2 Os 2.50, 2 Mg 2.70

(7)
First-principles (PBE) data for an optimized crystal structure of NiHCl2, as listed in Alexandria via LeMat-Bulk.

Output
Electronic total energy   -10.28 eV/f.u.
Energy relative to the lowest polymorph listed for this composition   0.769 eV/atom

Cell lengths 6.0887, 6.0887, 6.0887 Å; angles 90.00, 90.00, 90.00 degrees
Closest atoms and distances in Å follow each position.
Space group Fm-3m (No. 225)
Unique sites:
Ni  0.0000  0.0000  0.0000 x4  8 Cl 2.64
H  0.0000  0.0000  0.5000 x4  8 Cl 2.64
Cl  0.2500  0.2500  0.2500 x8  4 H 2.64, 4 Ni 2.64

(8)
First-principles (PBE) data for an optimized crystal structure of CePu2AgPt2, as listed in Alexandria via LeMat-Bulk.

Output
Electronic total energy   -52.97 eV/f.u.
ΔH_f (0 K)   -0.57 eV/atom

Cell lengths 5.0116, 5.0116, 6.1242 Å; angles 90.00, 90.00, 120.00 degrees
Closest atoms and distances in Å follow each position.
Space group P-3m1 (No. 164)
Unique sites:
Ce  0.0000  0.0000  0.0000 x1  2 Ag 3.06, 6 Pt 3.28, 6 Pu 3.29
Pu  0.3333  0.6667  0.7449 x2  5 Pt 2.89-3.11
Ag  0.0000  0.0000  0.5000 x1  2 Ce 3.06, 6 Pu 3.26, 6 Pt 3.27
Pt  0.3333  0.6667  0.2525 x2  5 Pu 2.89-3.11

(9)
First-principles (PBE) data for an optimized crystal structure of MnRh2W, as listed in Alexandria via LeMat-Bulk.

Output
Electronic total energy   -36.41 eV/f.u.
Energy relative to the lowest polymorph listed for this composition   0.272 eV/atom
ΔH_f (0 K)   0.10 eV/atom

Cell lengths 6.1285, 6.1285, 6.1285 Å; angles 90.00, 90.00, 90.00 degrees
Closest atoms and distances in Å follow each position.
Space group F-43m (No. 216)
Unique sites:
Mn  0.0000  0.0000  0.0000 x4  4 W 2.65, 4 Rh 2.65
Rh  0.0000  0.0000  0.5000 x4  4 W 2.65, 4 Rh 2.65
Rh  0.2500  0.2500  0.7500 x4  4 Mn 2.65, 4 Rh 2.65
W  0.2500  0.2500  0.2500 x4  4 Mn 2.65, 4 Rh 2.65

(10)
First-principles (PBE) data for an optimized crystal structure of BaTiNbS6, as listed in Alexandria via LeMat-Bulk.

Output
Electronic total energy   -54.93 eV/f.u.
Raw formation energy   -1.142 eV per atom

Cell lengths 6.0972, 6.1019, 6.7543 Å; angles 90.60, 90.58, 116.59 degrees
Closest atoms and distances in Å follow each position.
Space group P1 (No. 1)
Unique sites:
Ba  0.0000  0.0000  0.0000 x1  9 S 3.22-3.56
Ti  0.3208  0.6663  0.5757 x1  6 S 2.38-2.47
Nb  0.6625  0.3214  0.5512 x1  6 S 2.35-2.58
S  0.0057  0.4875  0.8182 x1  1 Ti 2.41, 1 Nb 2.58
S  0.3368  0.3467  0.3772 x1  1 Nb 2.36, 1 Ti 2.39
S  0.4900  0.0097  0.8189 x1  1 Ti 2.47, 1 Nb 2.51
S  0.5214  0.5216  0.8268 x1  1 Ti 2.47, 1 Nb 2.57
S  0.6398  0.9762  0.3762 x1  1 Nb 2.35, 1 Ti 2.45
S  0.9851  0.6493  0.3807 x1  1 Ti 2.38, 1 Nb 2.40

(11)
First-principles (PBE) data for an optimized crystal structure of Ba2YNiI, as listed in Alexandria via LeMat-Bulk.

Output
Electronic total energy   -16.90 eV/f.u.
Raw formation energy   0.148 eV per atom
Energy relative to the lowest polymorph listed for this composition   0.000 eV/atom

Cell lengths 6.8299, 6.8299, 4.7124 Å; angles 90.00, 90.00, 90.00 degrees
Closest atoms and distances in Å follow each position.
Space group P4/mmm (No. 123)
Unique sites:
Ba  0.0000  0.5000  0.0000 x2  2 Y 3.41
Y  0.0000  0.0000  0.0000 x1  2 Ni 2.36
Ni  0.0000  0.0000  0.5000 x1  2 Y 2.36
I  0.5000  0.5000  0.5000 x1  8 Ba 4.15

(12)
First-principles (PBE) data for an optimized crystal structure of CsKRb5Hg, as listed in Alexandria via LeMat-Bulk.

Output
Electronic total energy   -7.37 eV/f.u.
ΔH_f (0 K)   -0.03 eV/atom

Cell lengths 8.7689, 22.3655, 12.9290 Å; angles 90.00, 95.43, 90.00 degrees
Closest atoms and distances in Å follow each position.
Space group C2/c (No. 15)
Unique sites:
Cs  0.0000  0.0321  0.2500 x4  9 Rb 4.73-5.24, 2 K 5.20
K  0.0000  0.3430  0.7500 x4  2 Hg 4.57, 8 Rb 4.64-5.12
Rb  0.0000  0.2437  0.2500 x4  2 Hg 3.73
Rb  0.1090  0.1643  0.9305 x8  1 Hg 3.86
Rb  0.1207  0.4181  0.4334 x8  1 Hg 4.00
Hg  0.2500  0.2500  0.5000 x4  6 Rb 3.73-4.00